A relaxed VGaAuO2 crystal, computed with GGA+U.

Size of the total moment   0.2 μB per cell
E_tot   -5.56 eV/atom

Lattice parameters (Å, degrees): 3.714 3.714 5.616 90.00 90.00 90.00
Space group P4/mmm (No. 123)
Asymmetric unit:
V (0.000, 0.000, 0.000) [1 per cell]
Ga (0.500, 0.500, 0.500) [1 per cell]
Au (0.000, 0.000, 0.500) [1 per cell]
O (0.000, 0.500, 0.000) [2 per cell]